Entry 1:
Below is Li3Fe4CoO8 after structural relaxation, with properties calculated at the GGA-PBEsol level.

SG: C2/m, No. 12

Cell: 5.763 5.706 5.733 Å, 119.87 90.00 120.33°
Last column: magnetic moment on the atom in μB.
Sites, in units of the cell vectors:
O 0.253 0.984 0.754  0.11
O 0.742 0.483 0.267  0.00
Li 0.000 0.000 0.500  0.00
O 0.747 0.016 0.246  0.11
O 0.731 0.984 0.754  0.11
Fe 0.000 0.500 0.500  0.74
Fe 0.500 0.500 0.500  0.74
Fe 0.000 0.000 0.000  3.38
Fe 0.500 0.000 0.500  3.37
O 0.750 0.500 0.733  0.11
Li 0.000 0.500 0.000  0.00
O 0.250 0.500 0.267  0.11
Li 0.500 0.500 0.000  0.00
O 0.269 0.016 0.246  0.11
Co 0.500 0.000 0.000  -0.31
O 0.258 0.517 0.733  0.00

***

Entry 2:
Below is Li2FeCo3O8 after structural relaxation, with properties calculated at the GGA-PBEsol level.

Distance to the lowest polymorph of the same formula: 0.0000 eV/atom
SG: P4_332, No. 212

Cell: 7.941 7.941 7.941 Å, 90.00 90.00 90.00°
Last column: magnetic moment on the atom in μB.
Sites, in units of the cell vectors:
O 0.141 0.859 0.859  0.03
O 0.609 0.391 0.391  0.03
Fe 0.625 0.875 0.125  1.89
O 0.613 0.888 0.890  0.04
O 0.891 0.891 0.609  0.03
Co 0.125 0.624 0.873  0.29
O 0.390 0.886 0.112  0.04
O 0.638 0.863 0.360  0.04
Li 0.997 0.502 0.497  0.00
Li 0.253 0.247 0.753  0.00
Co 0.873 0.625 0.123  0.29
Li 0.003 0.997 0.997  0.00
O 0.112 0.890 0.387  0.04
O 0.610 0.613 0.612  0.04
Li 0.747 0.253 0.253  0.00
Co 0.877 0.127 0.625  0.29
Fe 0.375 0.625 0.625  1.89
O 0.612 0.110 0.113  0.04
O 0.860 0.862 0.137  0.04
O 0.888 0.610 0.887  0.04
Co 0.123 0.374 0.125  0.28
O 0.363 0.860 0.638  0.04
O 0.388 0.390 0.613  0.04
O 0.360 0.138 0.364  0.04
Co 0.625 0.377 0.627  0.29
O 0.140 0.638 0.636  0.04
Co 0.623 0.627 0.375  0.29
Co 0.373 0.375 0.377  0.29
O 0.137 0.360 0.362  0.04
Li 0.753 0.753 0.747  0.00
O 0.387 0.612 0.390  0.04
O 0.109 0.609 0.109  0.03
O 0.641 0.141 0.641  0.03
Fe 0.875 0.375 0.875  1.89
O 0.864 0.140 0.862  0.04
O 0.640 0.362 0.863  0.04
Co 0.127 0.875 0.623  0.29
Li 0.497 0.497 0.003  0.00
Co 0.377 0.874 0.875  0.28
O 0.359 0.359 0.141  0.03
Co 0.627 0.125 0.877  0.29
O 0.859 0.641 0.359  0.03
Co 0.875 0.877 0.373  0.29
Li 0.247 0.747 0.247  0.00
Li 0.503 0.003 0.503  0.00
O 0.110 0.386 0.888  0.04
O 0.113 0.112 0.610  0.04
O 0.637 0.640 0.138  0.04
O 0.362 0.636 0.860  0.04
O 0.890 0.113 0.388  0.04
Co 0.375 0.124 0.127  0.29
O 0.862 0.363 0.640  0.04
O 0.886 0.388 0.110  0.04
Fe 0.125 0.125 0.375  1.89
O 0.391 0.109 0.891  0.03
O 0.138 0.137 0.140  0.04

***

| no. | spin magnetization (Bohr magnetons per cell) | formation energy (no corrections) (eV/atom) |
| --- | --- | --- |
| 1 | 8.7 | -1.36 |
| 2 | 12.4 | -1.40 |